Record 1
Here is crystalline LaAl4PtAu2 at its relaxed geometry from the Alexandria database. Energies are from PBE-GGA.

Unit cell a=4.3751 b=4.3751 c=28.1068 alpha=90.00 beta=90.00 gamma=120.00
Space group R-3m (No. 166, hexagonal axes)
Symmetry-distinct sites (fractional):
La: 0.0000 0.0000 0.0000 x3
Al: 0.0000 0.0000 0.1342 x6
Al: 0.0000 0.0000 0.4083 x6
Pt: 0.0000 0.0000 0.5000 x3
Au: 0.0000 0.0000 0.2521 x6

Calculated values
energy: -4.7274 eV per atom
calculated formation energy: -666 meV per atom
total moment: 0.00 μB per atom



Record 2
Here is crystalline LaAl3PtAu at its relaxed geometry from the Alexandria database. Energies are from PBE-GGA.

Unit cell a=6.7050 b=12.9876 c=6.2065 alpha=90.00 beta=90.00 gamma=90.00
Space group Cmcm (No. 63)
Symmetry-distinct sites (fractional):
La: 0.0000 0.2213 0.2500 x4
Al: 0.0000 0.2014 0.7500 x4
Al: 0.2093 0.5000 0.0000 x8
Pt: 0.0000 0.0218 0.7500 x4
Au: 0.0000 0.3845 0.7500 x4

Calculated values
energy: -4.8077 eV per atom
calculated formation energy: -562 meV per atom
total moment: 0.00 μB per atom



Record 3
Here is crystalline La2Al4Pt3Au at its relaxed geometry from the Alexandria database. Energies are from PBE-GGA.

Unit cell a=4.3736 b=4.3736 c=10.4940 alpha=90.00 beta=90.00 gamma=90.00
Space group P-4m2 (No. 115)
Symmetry-distinct sites (fractional):
La: 0.0000 0.5000 0.2439 x2
Al: 0.0000 0.0000 0.0000 x1
Al: 0.0000 0.5000 0.6307 x2
Al: 0.5000 0.5000 0.0000 x1
Pt: 0.0000 0.5000 0.8704 x2
Pt: 0.5000 0.5000 0.5000 x1
Au: 0.0000 0.0000 0.5000 x1

Calculated values
energy: -5.6580 eV per atom
calculated formation energy: -1036 meV per atom
total moment: 0.00 μB per atom